No. 1
PBE NaCeTm4Se8, relaxed; space-group type = No. 160; electronic total energy = -77.17 eV/cell
1.0
8.363 0.000 0.000
4.181 7.242 0.000
4.181 2.414 7.006
Se Ce Tm Na
8 1 4 1
direct
0.247 0.247 0.728 Se
0.750 0.231 0.269 Se
0.750 0.750 0.269 Se
0.239 0.239 0.283 Se
0.779 0.247 0.728 Se
0.231 0.750 0.269 Se
0.759 0.759 0.724 Se
0.247 0.779 0.728 Se
0.004 0.004 0.989 Ce
0.005 0.485 0.504 Tm
0.485 0.005 0.504 Tm
0.627 0.627 0.120 Tm
0.005 0.005 0.504 Tm
0.372 0.372 0.883 Na


No. 2
PBE Nd2Er3Tl4, relaxed; energy of formation from the pure elements = -288 meV/atom; space-group type = No. 164; excess energy over the best structure of this formula in the dataset = 0.0 meV per atom; electronic total energy = -35.28 eV/cell
1.0
5.298 0.001 0.001
2.648 4.581 0.172
-0.002 -0.406 10.735
Tl Nd Er
4 2 3
direct
0.333 0.333 0.103 Tl
0.000 0.000 0.350 Tl
0.667 0.667 0.897 Tl
0.000 0.000 0.650 Tl
0.333 0.333 0.777 Nd
0.667 0.667 0.223 Nd
0.667 0.667 0.573 Er
0.333 0.333 0.427 Er
0.000 0.000 0.000 Er


No. 3
PBE Y2Ga9Ni6, relaxed; energy of formation from the pure elements = -367 meV/atom; space-group type = No. 191; electronic total energy = -81.10 eV/cell
1.0
5.301 0.000 0.000
-2.650 4.590 0.000
0.000 0.000 11.695
Ni Y Ga
6 2 9
direct
0.333 0.667 0.672 Ni
0.667 0.333 0.328 Ni
0.333 0.667 0.000 Ni
0.667 0.333 0.000 Ni
0.667 0.333 0.672 Ni
0.333 0.667 0.328 Ni
0.000 0.000 0.338 Y
0.000 0.000 0.662 Y
0.000 0.500 0.500 Ga
0.000 0.500 0.840 Ga
0.500 0.500 0.840 Ga
0.500 0.500 0.500 Ga
0.500 0.500 0.160 Ga
0.500 0.000 0.840 Ga
0.000 0.500 0.160 Ga
0.500 0.000 0.500 Ga
0.500 0.000 0.160 Ga


No. 4
PBE NdYSi, relaxed; space-group type = No. 189; excess energy over the best structure of this formula in the dataset = 0.0 meV per atom; electronic total energy = -109.86 eV/cell
1.0
-2.272 4.847 5.931
-7.881 -3.463 -0.189
7.050 -5.435 1.761
Nd Si Y
6 6 6
direct
0.754 0.047 0.593 Nd
0.160 0.953 0.407 Nd
0.160 0.453 0.406 Nd
0.753 0.547 0.594 Nd
0.347 0.250 0.000 Nd
0.347 0.750 0.000 Nd
0.087 0.833 0.667 Si
0.420 0.167 0.333 Si
0.420 0.667 0.333 Si
0.753 0.250 0.000 Si
0.087 0.333 0.667 Si
0.753 0.750 0.000 Si
0.013 0.500 0.000 Y
0.494 0.870 0.741 Y
0.753 0.130 0.259 Y
0.753 0.630 0.259 Y
0.494 0.370 0.741 Y
0.013 0.000 0.000 Y